Sb2AsW, single point on PBEsol structure, DFT SCAN; N(E_F) = 3.4 states/eV/cell
1.0
4.8737 0.0000 0.0000
0.0000 4.8737 0.0000
0.0000 0.0000 3.3308
Sb As W
2 1 1
Cartesian
0.0000 2.4368 0.0000
2.4368 0.0000 0.0000
0.0000 0.0000 1.6654
2.4368 2.4368 1.6654


SbAsW2, single point on PBEsol structure, DFT SCAN; relative energy among the computed polymorphs = 57.4 kJ/mol of atoms; N(E_F) = 3.3 states/eV/cell
1.0
3.2204 0.0000 0.0000
0.0000 4.2800 0.0000
0.0000 0.0000 5.0277
Sb As W
1 1 2
Cartesian
0.0000 0.0000 0.0000
1.6102 0.0000 2.5139
0.0000 2.1400 2.5139
1.6102 2.1400 0.0000


SbAsW2, single point on PBEsol structure, DFT SCAN; relative energy among the computed polymorphs = 0.0 kJ/mol of atoms; N(E_F) = 2.5 states/eV/cell
1.0
3.3144 0.0000 0.0000
0.0000 3.3144 0.0000
0.0000 0.0000 6.2985
Sb As W
1 1 2
Cartesian
0.0000 0.0000 0.0000
1.6572 1.6572 4.2217
0.0000 0.0000 3.2087
1.6572 1.6572 1.4598


SbAsW2, single point on PBEsol structure, DFT SCAN; relative energy among the computed polymorphs = 55.2 kJ/mol of atoms; N(E_F) = 6.9 states/eV/cell
1.0
3.1789 0.0000 0.0000
0.0000 5.1545 0.0000
0.0000 0.0000 8.5028
Sb As W
2 2 4
Cartesian
0.0000 0.0000 0.0000
1.5895 2.5772 0.0000
0.0000 0.0000 4.2514
1.5895 2.5772 4.2514
0.0000 2.5772 2.2863
0.0000 2.5772 6.2165
1.5895 0.0000 2.2863
1.5895 0.0000 6.2165


SbAsW2, single point on PBEsol structure, DFT SCAN; relative energy among the computed polymorphs = 58.8 kJ/mol of atoms; N(E_F) = 6.1 states/eV/cell
1.0
5.7749 0.0000 0.0000
0.0000 8.5958 0.0000
-1.3262 0.0000 2.8060
Sb As W
2 2 4
Cartesian
0.0000 0.0000 0.0000
2.8874 4.2979 0.0000
0.0000 4.2979 0.0000
2.8874 0.0000 0.0000
0.7806 2.1489 1.4030
0.7806 6.4468 1.4030
3.6681 2.1489 1.4030
3.6681 6.4468 1.4030


Sb2AsW, single point on PBEsol structure, DFT SCAN; N(E_F) = 12.8 states/eV/cell
1.0
6.8008 0.0000 0.0000
0.0000 6.8008 0.0000
0.0000 0.0000 6.8008
Sb As W
8 4 4
Cartesian
0.0000 0.0000 0.0000
0.0000 3.4004 3.4004
1.7002 1.7002 1.7002
1.7002 5.1006 5.1006
3.4004 0.0000 3.4004
3.4004 3.4004 0.0000
5.1006 1.7002 5.1006
5.1006 5.1006 1.7002
1.7002 1.7002 5.1006
1.7002 5.1006 1.7002
5.1006 1.7002 1.7002
5.1006 5.1006 5.1006
0.0000 0.0000 3.4004
0.0000 3.4004 0.0000
3.4004 0.0000 0.0000
3.4004 3.4004 3.4004


Sb3AsW, single point on PBEsol structure, DFT SCAN; N(E_F) = 3.0 states/eV/cell
1.0
5.1363 0.0000 0.0000
0.0000 5.1363 0.0000
0.0000 0.0000 5.1363
Sb As W
3 1 1
Cartesian
0.0000 0.0000 2.5682
0.0000 2.5682 0.0000
2.5682 0.0000 0.0000
0.0000 0.0000 0.0000
2.5682 2.5682 2.5682


Sb2AsW, single point on PBEsol structure, DFT SCAN; N(E_F) = 5.4 states/eV/cell
1.0
6.5015 0.0000 0.0000
0.0000 7.4585 0.0000
-0.5562 0.0000 3.2742
Sb As W
4 2 2
Cartesian
1.6254 1.8646 0.0000
1.6254 5.5938 0.0000
4.8761 1.8646 0.0000
4.8761 5.5938 0.0000
-0.2781 0.0000 1.6371
2.9727 3.7292 1.6371
-0.2781 3.7292 1.6371
2.9727 0.0000 1.6371


no.,raw formation energy (eV per atom)
1,0.9112
2,0.9659
3,0.3706
4,0.9425
5,0.9802
6,0.9073
7,1.6770
8,0.8725